1.
{
  "formula": "Li15W7N19",
  "functional": "SCAN",
  "state": "single point on PBEsol structure",
  "cell": [[5.7030, 0.0000, 0.0000], [-2.6596, 10.6293, 0.0000], [-1.2145, -0.6085, 17.2542]],
  "species": ["Li", "Li", "Li", "Li", "Li", "Li", "Li", "Li", "Li", "Li", "Li", "Li", "Li", "Li", "Li", "Li", "Li", "Li", "Li", "Li", "Li", "Li", "Li", "Li", "Li", "Li", "Li", "Li", "Li", "Li", "W", "W", "W", "W", "W", "W", "W", "W", "W", "W", "W", "W", "W", "W", "N", "N", "N", "N", "N", "N", "N", "N", "N", "N", "N", "N", "N", "N", "N", "N", "N", "N", "N", "N", "N", "N", "N", "N", "N", "N", "N", "N", "N", "N", "N", "N", "N", "N", "N", "N", "N", "N"],
  "fractional_positions": [[0.0000, 0.0000, 0.0000], [0.0027, 0.8858, 0.5461], [0.0325, 0.6693, 0.6533], [0.0702, 0.8451, 0.8507], [0.1270, 0.4127, 0.5014], [0.1310, 0.0164, 0.3058], [0.1522, 0.5725, 0.9548], [0.2265, 0.6657, 0.4055], [0.2734, 0.6459, 0.8191], [0.2888, 0.4868, 0.2083], [0.3305, 0.2610, 0.2843], [0.3503, 0.2327, 0.7946], [0.3791, 0.4211, 0.8953], [0.4393, 0.4635, 0.3724], [0.4813, 0.8747, 0.0173], [0.5000, 0.0000, 0.5000], [0.5187, 0.1253, 0.9827], [0.5607, 0.5365, 0.6276], [0.6209, 0.5789, 0.1047], [0.6497, 0.7673, 0.2054], [0.6695, 0.7390, 0.7157], [0.7112, 0.5132, 0.7917], [0.7266, 0.3541, 0.1809], [0.7735, 0.3343, 0.5945], [0.8478, 0.4275, 0.0452], [0.8690, 0.9836, 0.6942], [0.8730, 0.5873, 0.4986], [0.9298, 0.1549, 0.1493], [0.9675, 0.3307, 0.3467], [0.9973, 0.1142, 0.4539], [0.1009, 0.7059, 0.1193], [0.1226, 0.4386, 0.7071], [0.2053, 0.1700, 0.6137], [0.2293, 0.3194, 0.0626], [0.3126, 0.9289, 0.7022], [0.3733, 0.0411, 0.1253], [0.4712, 0.7459, 0.5434], [0.5288, 0.2541, 0.4566], [0.6267, 0.9589, 0.8747], [0.6874, 0.0711, 0.2978], [0.7707, 0.6806, 0.9374], [0.7947, 0.8300, 0.3863], [0.8774, 0.5614, 0.2929], [0.8991, 0.2941, 0.8807], [0.0358, 0.8337, 0.7315], [0.0415, 0.3500, 0.1369], [0.0614, 0.9386, 0.4285], [0.0855, 0.3782, 0.9695], [0.1058, 0.3438, 0.8007], [0.1540, 0.3341, 0.6203], [0.1587, 0.5178, 0.3173], [0.1745, 0.8801, 0.1029], [0.2198, 0.1421, 0.0629], [0.2440, 0.6020, 0.5182], [0.2538, 0.2900, 0.4133], [0.2743, 0.0983, 0.7095], [0.3464, 0.8658, 0.6037], [0.3511, 0.9585, 0.9179], [0.3693, 0.5814, 0.7183], [0.3763, 0.6590, 0.1376], [0.4154, 0.0907, 0.2328], [0.4634, 0.5994, 0.9112], [0.4701, 0.1752, 0.5529], [0.5299, 0.8248, 0.4471], [0.5366, 0.4006, 0.0888], [0.5846, 0.9093, 0.7672], [0.6237, 0.3410, 0.8624], [0.6307, 0.4186, 0.2817], [0.6489, 0.0415, 0.0821], [0.6536, 0.1342, 0.3963], [0.7257, 0.9017, 0.2905], [0.7462, 0.7100, 0.5867], [0.7560, 0.3980, 0.4818], [0.7802, 0.8579, 0.9371], [0.8255, 0.1199, 0.8971], [0.8413, 0.4822, 0.6827], [0.8460, 0.6659, 0.3797], [0.8942, 0.6562, 0.1993], [0.9145, 0.6218, 0.0305], [0.9386, 0.0614, 0.5715], [0.9585, 0.6500, 0.8631], [0.9642, 0.1663, 0.2685]],
  "dos_at_fermi_per_ev_cell": 0.0,
  "crystal_system": "triclinic",
  "e_tot_ev_per_cell": -1461.47
}


2.
{
  "formula": "LiWN2",
  "functional": "SCAN",
  "state": "single point on PBEsol structure",
  "cell": [[1.4644, 0.8455, 5.3321], [-1.4644, 0.8455, 5.3321], [0.0000, -1.6910, 5.3321]],
  "species": ["Li", "W", "N", "N"],
  "fractional_positions": [[0.0000, 0.0000, 0.0000], [0.1739, 0.1739, 0.1739], [0.5826, 0.5826, 0.5826], [0.7661, 0.7661, 0.7661]],
  "dos_at_fermi_per_ev_cell": 1.5,
  "crystal_system": "trigonal",
  "e_tot_ev_per_cell": -92.88
}


3.
{
  "formula": "LiWN2",
  "functional": "SCAN",
  "state": "single point on PBEsol structure",
  "cell": [[-2.3166, 2.3166, 4.6384], [2.3166, -2.3166, 4.6384], [2.3166, 2.3166, -4.6384]],
  "species": ["Li", "Li", "W", "W", "N", "N", "N", "N"],
  "fractional_positions": [[0.0000, 0.0000, 0.0000], [0.7500, 0.2500, 0.5000], [0.2500, 0.7500, 0.5000], [0.5000, 0.5000, 0.0000], [0.1670, 0.6250, 0.0420], [0.3750, 0.4170, 0.5420], [0.5830, 0.1250, 0.9580], [0.8750, 0.8330, 0.4580]],
  "dos_at_fermi_per_ev_cell": 2.6,
  "crystal_system": "tetragonal",
  "e_tot_ev_per_cell": -185.91
}


4.
{
  "formula": "Li3YN",
  "functional": "SCAN",
  "state": "single point on PBEsol structure",
  "cell": [[4.1125, 0.0000, 0.0000], [0.0000, 4.1125, 0.0000], [0.0000, 0.0000, 4.1125]],
  "species": ["Li", "Li", "Li", "Y", "N"],
  "fractional_positions": [[0.0000, 0.0000, 0.5000], [0.0000, 0.5000, 0.0000], [0.5000, 0.0000, 0.0000], [0.5000, 0.5000, 0.5000], [0.0000, 0.0000, 0.0000]],
  "dos_at_fermi_per_ev_cell": 1.9,
  "crystal_system": "cubic",
  "e_tot_ev_per_cell": -43.70
}